1.
Entry from Alexandria: a relaxed structure of BaHg2Au (PBE).

## Properties
The energy of formation from the pure elements comes out at -1.792 eV/f.u. The density of states at the Fermi level is 0.58 states/eV/atom. For the theoretical density, the calculation gives 10.10 g/cm3. Its uncorrected energy is -1.899 eV per atom.

Structure (extended XYZ):
```
4
Lattice="5.1099 -0.0156 0.0335 2.5517 4.4272 0.0335 2.5569 1.4723 5.3570" Properties=species:S:1:pos:R:3 pbc="T T T"
Au 5.1002 2.9368 3.4512
Hg 2.5645 1.4767 4.9593
Hg 7.6603 4.4109 3.5610
Ba 2.5599 1.4740 1.5213
```

---

2.
Entry from Alexandria: a relaxed structure of Ba3Hg2Au (PBE).

## Properties
The energy of formation from the pure elements comes out at -3.418 eV/f.u. Its energy above the most stable polymorph in this dataset is 0.0 kJ per mole of atoms. The density of states at the Fermi level is 0.84 states/eV/atom. For the theoretical density, the calculation gives 7.82 g/cm3. Its uncorrected energy is -2.178 eV per atom.

Structure (extended XYZ):
```
6
Lattice="-3.5766 1.2577 -1.6133 0.8548 -2.0333 -3.4801 -5.6956 -10.2840 4.6096" Properties=species:S:1:pos:R:3 pbc="T T T"
Ba 0.0000 0.0000 0.0000
Ba -3.7410 -6.7548 3.0277
Ba -1.9546 -3.5292 1.5819
Hg -6.0963 -8.9382 1.2858
Hg -2.3210 -2.1214 -1.7697
Au -4.2087 -5.5298 -0.2419
```